MnCu3F8: optimized geometry, PBE with a Hubbard U.

Geometry as POSCAR:
```
MnCu3F8
1.0
2.745 -4.767 0.000
2.745 4.767 0.000
0.000 0.000 6.274
Mn Cu F
1 3 8
Cartesian
0.000 0.000 0.000 Mn
0.000 0.000 3.137 Cu
1.372 2.383 1.559 Cu
1.372 -2.383 4.716 Cu
1.361 0.413 1.598 F
2.745 2.797 3.137 F
2.745 2.625 0.000 F
1.361 -0.413 4.676 F
4.128 0.413 4.676 F
2.745 -2.625 0.000 F
2.745 -2.797 3.137 F
4.128 -0.413 1.598 F
```

Summary:
Space-group type = No. 21
Raw total energy = -4.62 eV per atom